TaHBr2 | GGA-PBE | optimized geometry

```
data_TaHBr2
_chemical_formula_sum 'Ta4 H4 Br8'
_cell_length_a 6.4381
_cell_length_b 6.4381
_cell_length_c 6.4381
_cell_angle_alpha 90.00
_cell_angle_beta 90.00
_cell_angle_gamma 90.00
_symmetry_space_group_name_H-M 'F m -3 m'
_symmetry_Int_Tables_number 225
_symmetry_space_group_name_Hall '-F 4 2 3'
loop_
_atom_site_label
_atom_site_type_symbol
_atom_site_fract_x
_atom_site_fract_y
_atom_site_fract_z
_atom_site_occupancy
Ta1 Ta 0.0000 0.0000 0.0000 1
H1 H 0.0000 0.0000 0.5000 1
Br1 Br 0.2500 0.2500 0.2500 1
```

Calculated values
Total energy (eV/atom): -4.055
Density (g/cm3): 8.51